A plane-wave DFT calculation with GGA-PBE was carried out for an optimized crystal structure of La4GaBi2. Values from VASP.

Quantum ESPRESSO input file:
```
&SYSTEM
  ibrav = 0, nat = 7, ntyp = 3
/
ATOMIC_SPECIES
Ga 69.72 Ga.upf
Bi 208.98 Bi.upf
La 138.91 La.upf
ATOMIC_POSITIONS crystal
Ga 0.000 0.000 0.000
Bi 0.366 0.366 0.267
La 0.826 0.826 0.348
La 0.500 0.000 0.000
La 0.174 0.174 0.652
La 0.000 0.500 0.000
Bi 0.634 0.634 0.733
CELL_PARAMETERS angstrom
5.555 0.000 0.000
0.000 5.555 0.000
2.777 2.777 8.577
```

**SG**: I4/mmm, No. 139
**E_form**: -509 meV/atom



A plane-wave DFT calculation with GGA-PBE was carried out for an optimized crystal structure of Ho2TmRh2. Values from VASP.

Quantum ESPRESSO input file:
```
&SYSTEM
  ibrav = 0, nat = 10, ntyp = 3
/
ATOMIC_SPECIES
Ho 164.93 Ho.upf
Rh 102.91 Rh.upf
Tm 168.93 Tm.upf
ATOMIC_POSITIONS crystal
Ho 0.101 0.201 0.649
Rh 0.994 0.988 0.404
Ho 0.899 0.799 0.149
Rh 0.762 0.524 0.647
Ho 0.638 0.275 0.330
Tm 0.349 0.698 0.456
Ho 0.362 0.725 0.830
Rh 0.238 0.476 0.147
Tm 0.651 0.302 0.956
Rh 0.006 0.012 0.904
CELL_PARAMETERS angstrom
-1.452 -2.699 2.475
6.488 -1.073 -0.497
1.547 5.938 7.383
```

**SG**: Cmc2_1, No. 36
**E_form**: -733 meV/atom



A plane-wave DFT calculation with GGA-PBE was carried out for an optimized crystal structure of NdTm2Cu9. Values from VASP.

Quantum ESPRESSO input file:
```
&SYSTEM
  ibrav = 0, nat = 12, ntyp = 3
/
ATOMIC_SPECIES
Cu 63.55 Cu.upf
Tm 168.93 Tm.upf
Nd 144.24 Nd.upf
ATOMIC_POSITIONS crystal
Cu 0.332 0.332 0.003
Cu 0.416 0.917 0.250
Tm 0.856 0.856 0.431
Cu 0.416 0.416 0.250
Cu 0.500 0.500 0.500
Cu 0.584 0.083 0.750
Cu 0.917 0.416 0.250
Cu 0.584 0.584 0.750
Cu 0.083 0.584 0.750
Tm 0.144 0.144 0.569
Cu 0.668 0.668 0.997
Nd 0.000 0.000 0.000
CELL_PARAMETERS angstrom
5.209 0.000 0.000
2.605 4.511 0.000
2.605 1.504 8.196
```

**SG**: R-3m, No. 166
**E_form**: -205 meV/atom



A plane-wave DFT calculation with GGA-PBE was carried out for an optimized crystal structure of TiNbTl2Sn. Values from VASP.

Quantum ESPRESSO input file:
```
&SYSTEM
  ibrav = 0, nat = 5, ntyp = 4
/
ATOMIC_SPECIES
Ti 47.87 Ti.upf
Sn 118.71 Sn.upf
Nb 92.91 Nb.upf
Tl 204.38 Tl.upf
ATOMIC_POSITIONS crystal
Ti 0.500 0.500 0.500
Sn 0.000 0.000 0.000
Nb 0.000 0.500 0.000
Tl 0.000 0.000 0.500
Tl 0.500 0.000 0.000
CELL_PARAMETERS angstrom
5.497 0.000 0.000
0.000 5.345 0.000
0.000 0.000 5.497
```

**SG**: P4/mmm, No. 123
**E_form**: 1502 meV/atom



A plane-wave DFT calculation with GGA-PBE was carried out for an optimized crystal structure of TaAgIr. Values from VASP.

Quantum ESPRESSO input file:
```
&SYSTEM
  ibrav = 0, nat = 3, ntyp = 3
/
ATOMIC_SPECIES
Ag 107.87 Ag.upf
Ta 180.95 Ta.upf
Ir 192.22 Ir.upf
ATOMIC_POSITIONS crystal
Ag 0.002 0.002 0.998
Ta 0.318 0.318 0.682
Ir 0.680 0.680 0.320
CELL_PARAMETERS angstrom
-1.470 3.197 4.896
1.039 1.717 5.685
1.589 2.554 -0.260
```

**SG**: I4mm, No. 107
**E_form**: -4 meV/atom



A plane-wave DFT calculation with GGA-PBE was carried out for an optimized crystal structure of CaLaAg2. Values from VASP.

Quantum ESPRESSO input file:
```
&SYSTEM
  ibrav = 0, nat = 4, ntyp = 3
/
ATOMIC_SPECIES
Ca 40.08 Ca.upf
Ag 107.87 Ag.upf
La 138.91 La.upf
ATOMIC_POSITIONS crystal
Ca 0.518 0.518 0.000
Ag 0.780 0.280 0.500
La 0.224 0.724 0.500
Ag 0.978 0.978 0.000
CELL_PARAMETERS angstrom
-4.635 2.537 3.799
-6.315 -1.054 -1.168
5.856 -2.535 1.280
```

**SG**: Imm2, No. 44
**E_form**: -162 meV/atom



Which value of E_form does entry 2 give?
-733 meV/atom



Which of these has the lowest E_form?
Ho2TmRh2



E_form of number 4 (TiNbTl2Sn)?
1502 meV/atom



Look up the E_form of the first one.
-509 meV/atom